4
Lattice="3.2615 0.0000 0.0000 0.0000 3.1749 0.0000 -1.2934 0.0000 6.5350" Properties=species:S:1:pos:R:3 comment="Cr2CuBr (GGA-PBE, relaxed)" crystal_system=monoclinic e_form_raw_ev_per_atom=0.351 e_above_lowest_polymorph_mev_per_atom=0 pbc="T T T"
Cr 0.0000 0.0000 0.0000
Cr 0.3529 1.5874 5.3231
Cu 1.9909 0.0000 3.9455
Br 0.0955 1.5874 2.1543

6
Lattice="5.5616 -2.9932 0.0000 5.5616 2.9932 0.0000 -0.0141 0.0000 5.9927" Properties=species:S:1:pos:R:3 comment="TbPm4Tm (GGA-PBE, relaxed)" crystal_system=monoclinic e_above_lowest_polymorph_mev_per_atom=41 pbc="T T T"
Tb 0.0000 0.0000 0.0000
Pm 1.7940 0.0000 2.9225
Pm 3.7514 0.0000 5.9133
Pm 7.3578 0.0000 0.0794
Pm 9.3151 0.0000 3.0703
Tm 5.5546 0.0000 2.9964

6
Lattice="4.3456 0.0000 0.0000 -2.1728 3.7634 0.0000 0.0000 0.0000 7.3896" Properties=species:S:1:pos:R:3 comment="AcScSi2Pt2 (GGA-PBE, relaxed)" crystal_system=trigonal e_form_raw_ev_per_atom=-1.140 pbc="T T T"
Ac 0.0000 0.0000 0.0000
Sc 0.0000 0.0000 3.6948
Si 0.0000 2.5089 5.1260
Si 2.1728 1.2545 2.2636
Pt 0.0000 2.5089 2.3256
Pt 2.1728 1.2545 5.0639

5
Lattice="-2.0706 2.0706 8.7117 2.0706 -2.0706 8.7117 2.0706 2.0706 -8.7117" Properties=species:S:1:pos:R:3 comment="Bi2Sb2Au (GGA-PBE, relaxed)" crystal_system=tetragonal e_form_raw_ev_per_atom=0.259 e_above_lowest_polymorph_mev_per_atom=248 pbc="T T T"
Bi 0.0000 0.0000 1.5294
Bi 0.0000 0.0000 15.8940
Sb 2.0706 0.0000 4.3559
Sb 0.0000 2.0706 4.3559
Au 0.0000 0.0000 8.7117

no.,Fermi-level density of states (states/eV per cell),calculated density (Mg/m³)
1,1.4,6.07
2,11.5,7.56
3,2.8,9.87
4,2.8,9.54